Compound: UZn2CrO8
Source: Alexandria
Functional: GGA+U
Structure: optimized geometry

- Electronic total energy: -79.753 eV per cell
- Calculated density: 5.94 g/cm3
- Total magnetization: 0.04 μB/atom
- Fermi-level density of states: 0.560 states/eV per atom

Cell lengths 5.8660, 5.8660, 5.8660 Å; angles 113.44, 113.44, 101.80 degrees
Each line ends with the local moment (μB).
Atoms (fractional coordinates):
U (0.0000, 0.0000, 0.0000)  -0.01
Zn (0.7500, 0.2500, 0.5000)  0.01
Zn (0.5000, 0.5000, 0.0000)  0.01
Cr (0.2500, 0.7500, 0.5000)  -1.45
O (0.3602, 0.0676, 0.2926)  0.02
O (0.3195, 0.5521, 0.2326)  0.18
O (0.3195, 0.0869, 0.7674)  0.18
O (0.7750, 0.0676, 0.7074)  0.02
O (0.9131, 0.6805, 0.2326)  0.18
O (0.9324, 0.2250, 0.2926)  0.02
O (0.9324, 0.6398, 0.7074)  0.02
O (0.4479, 0.6805, 0.7674)  0.18